Computed, not measured: a relaxed Mn2F7 crystal at the PBE with a Hubbard U level of DFT.

abc: 5.3383 6.2503 8.7987
angles: 72.00 76.77 83.65
With the nearest neighbours (Å) after each atom.
Sites, in units of the cell vectors:
Mn (0.2155, 0.4593, 0.3315)  2 F 1.75-1.95
Mn (0.2838, 0.3008, 0.8028)  5 F 1.75-1.96
Mn (0.7162, 0.6992, 0.1972)  5 F 1.75-1.96
Mn (0.7845, 0.5407, 0.6685)  2 F 1.75-1.95
F (0.0513, 0.5994, 0.1297)  2 Mn 1.85-2.07
F (0.1166, 0.1877, 0.3660)  1 Mn 1.75
F (0.1694, 0.4135, 0.5880)  3 Mn 2.01-2.16
F (0.2001, 0.0301, 0.8217)  1 Mn 1.75
F (0.3628, 0.2388, 0.9946)  1 Mn 1.75
F (0.3648, 0.7451, 0.3007)  2 Mn 1.92-1.95
F (0.4161, 0.6018, 0.7425)  2 Mn 1.96
F (0.5839, 0.3982, 0.2575)  2 Mn 1.96
F (0.6352, 0.2549, 0.6993)  2 Mn 1.92-1.95
F (0.6372, 0.7612, 0.0054)  1 Mn 1.75
F (0.7999, 0.9699, 0.1783)  1 Mn 1.75
F (0.8306, 0.5865, 0.4120)  3 Mn 2.01-2.16
F (0.8834, 0.8123, 0.6340)  1 Mn 1.75
F (0.9487, 0.4006, 0.8703)  2 Mn 1.85-2.07

Calculated values
E in Ry per atom: -0.38789
Space-group type: P-1 (2)
Energy above the lowest structure with this stoichiometry in meV per atom: 14.4